# 1
The following is a GGA-PBE calculation of PaCo2SiC after structural relaxation, from the Alexandria database.

## Properties
For the formation energy from raw total energies, the calculation gives -546 meV/atom.

POSCAR file:
```
PaCo2SiC
1.0
1.839 -5.390 0.000
1.839 5.390 0.000
0.000 0.000 6.675
Pa Co Si C
2 4 2 2
Cartesian
1.839 4.823 5.006
1.839 -4.823 1.669
1.839 1.804 3.689
1.839 1.804 6.322
1.839 -1.804 0.352
1.839 -1.804 2.985
1.839 2.981 1.669
1.839 -2.981 5.006
1.839 0.000 0.000
1.839 0.000 3.337
```


# 2
The following is a GGA-PBE calculation of PaCoSiC after structural relaxation, from the Alexandria database.

## Properties
For the formation energy from raw total energies, the calculation gives -629 meV/atom.

POSCAR file:
```
PaCoSiC
1.0
3.721 0.000 0.000
0.000 3.721 0.000
0.000 0.000 8.159
Pa Co Si C
2 2 2 2
Cartesian
0.930 0.930 1.353
2.791 2.791 6.805
0.930 2.791 4.079
2.791 0.930 4.079
0.930 0.930 5.309
2.791 2.791 2.850
0.930 0.930 7.188
2.791 2.791 0.970
```


# 3
The following is a GGA-PBE calculation of Pa2CoSnC after structural relaxation, from the Alexandria database.

## Properties
The formation energy is -0.3501 eV per atom.

POSCAR file:
```
Pa2CoSnC
1.0
6.836 0.000 0.000
0.000 3.605 0.000
-3.409 0.000 8.029
Pa Co Sn C
4 2 2 2
Cartesian
-0.139 0.901 3.952
-1.371 0.901 7.053
4.798 2.704 0.976
3.566 2.704 4.078
0.432 2.704 6.130
2.995 0.901 1.899
1.137 2.704 1.568
2.291 0.901 6.461
-1.311 2.704 5.288
4.738 0.901 2.741
```


# 4
The following is a GGA-PBE calculation of PaTa2CoC4 after structural relaxation, from the Alexandria database.

## Properties
The formation energy is -0.3909 eV per atom.

POSCAR file:
```
PaTa2CoC4
1.0
1.608 -5.466 0.000
1.608 5.466 0.000
0.000 0.000 10.770
Pa Ta Co C
2 4 2 8
Cartesian
1.608 4.331 8.078
1.608 -4.331 2.693
1.608 1.430 5.912
1.608 1.430 10.244
1.608 -1.430 0.527
1.608 -1.430 4.859
1.608 3.750 2.693
1.608 -3.750 8.078
0.000 0.000 0.000
0.000 0.000 5.385
1.608 2.516 1.298
1.608 2.516 4.087
1.608 0.682 8.078
1.608 -0.682 2.693
1.608 -2.516 6.683
1.608 -2.516 9.473
```


# 5
The following is a GGA-PBE calculation of PaCoTcC after structural relaxation, from the Alexandria database.

## Properties
The formation energy is 0.0211 eV per atom.

POSCAR file:
```
PaCoTcC
1.0
3.755 0.000 0.000
0.000 4.102 0.000
0.000 0.000 4.151
Pa Co Tc C
1 1 1 1
Cartesian
0.000 0.000 0.000
0.000 2.051 2.075
1.877 0.000 2.075
1.877 2.051 2.075
```


# 6
The following is a GGA-PBE calculation of PaZn2Co2C after structural relaxation, from the Alexandria database.

## Properties
The formation energy is 0.0691 eV per atom.

POSCAR file:
```
PaZn2Co2C
1.0
-1.826 1.826 6.882
1.826 -1.826 6.882
1.826 1.826 -6.882
Pa Zn Co C
1 2 2 1
Cartesian
0.000 0.000 0.000
1.826 0.000 3.441
0.000 1.826 3.441
0.000 0.000 5.126
0.000 0.000 8.638
0.000 0.000 6.882
```


# 7
The following is a GGA-PBE calculation of CoPbC2 after structural relaxation, from the Alexandria database.

## Properties
The formation energy is 1.1853 eV per atom.

POSCAR file:
```
CoPbC2
1.0
-2.569 2.569 4.457
2.569 -2.569 4.457
2.569 2.569 -4.457
Co Pb C
2 2 4
Cartesian
0.000 0.000 0.000
0.000 2.569 2.229
2.569 0.000 2.229
0.000 0.000 4.457
0.639 1.285 1.114
-1.285 1.930 3.343
-0.639 3.854 1.114
1.285 3.208 3.343
```


# 8
The following is a GGA-PBE calculation of CoPb2C after structural relaxation, from the Alexandria database.

## Properties
The formation energy is 1.3083 eV per atom.

POSCAR file:
```
CoPb2C
1.0
-3.088 3.088 4.520
3.088 -3.088 4.520
3.088 3.088 -4.520
Co Pb C
2 4 2
Cartesian
0.000 0.000 0.000
0.000 3.088 2.260
1.544 -1.306 3.390
1.782 1.544 1.130
1.544 4.395 -1.130
1.306 1.544 5.650
3.088 0.000 2.260
0.000 0.000 4.520
```